[1]
## YRhAu2 (PBE-GGA)

Data for YRhAu2 after structural relaxation.

Its calculated formation energy is -0.86 eV/f.u. As for the theoretical density: 11.19 g/cm³. Its density of states at the Fermi level is 1.81 states/eV/f.u.

Lattice parameters (Å, degrees): 3.859 3.872 11.636 90.00 90.00 90.00
Space group Immm (No. 71)
Asymmetric unit:
Y: 0.000 0.000 0.000 (multiplicity 2)
Rh: 0.000 0.000 0.500 (multiplicity 2)
Au: 0.000 0.000 0.271 (multiplicity 4)



[2]
## YRh2Au (PBE-GGA)

Data for YRh2Au after structural relaxation.

Its calculated formation energy is 0.10 eV/f.u. As for the theoretical density: 10.93 g/cm³. Its density of states at the Fermi level is 3.07 states/eV/f.u.

Lattice parameters (Å, degrees): 3.1693 3.1693 25.7559 90.00 90.00 120.00
Space group R-3m (No. 166, hexagonal axes)
Asymmetric unit:
Y: 0.0000 0.0000 0.0000 (multiplicity 3)
Rh: 0.0000 0.0000 0.2511 (multiplicity 6)
Au: 0.0000 0.0000 0.5000 (multiplicity 3)



[3]
## Y3RhAu (PBE-GGA)

Data for Y3RhAu after structural relaxation.

Its calculated formation energy is -3.58 eV/f.u. As for the theoretical density: 7.36 g/cm³. The value obtained for the offset from the most stable computed form is 0.000 eV per atom. Its density of states at the Fermi level is 4.33 states/eV/f.u.

Lattice parameters (Å, degrees): 8.821 7.256 8.252 90.00 104.61 90.00
Space group P2_1/c (No. 14)
Asymmetric unit:
Y: 0.044 0.004 0.215 (multiplicity 4)
Y: 0.275 0.648 0.100 (multiplicity 4)
Y: 0.347 0.181 0.983 (multiplicity 4)
Rh: 0.063 0.187 0.521 (multiplicity 4)
Au: 0.415 0.541 0.811 (multiplicity 4)